one:
Tl3InHg7: optimized geometry, PBE.

Cell lengths 7.741, 7.741, 6.091 Å; angles 105.59, 105.59, 95.92 degrees
Atoms (fractional coordinates):
Tl1 0.000 0.000 0.000
Tl2 0.229 0.771 0.500
Tl3 0.771 0.229 0.500
In1 0.500 0.500 0.000
Hg1 0.081 0.583 0.844
Hg2 0.200 0.200 0.597
Hg3 0.417 0.919 0.156
Hg4 0.500 0.500 0.500
Hg5 0.583 0.081 0.844
Hg6 0.800 0.800 0.403
Hg7 0.919 0.417 0.156

Properties
Space-group type ... C2/m (12)

two:
Tl3InHg7: optimized geometry, PBE.

Cell lengths 15.083, 15.083, 13.294 Å; angles 90.00, 90.00, 167.66 degrees
Atoms (fractional coordinates):
Tl1 0.114 0.886 0.622
Tl2 0.114 0.886 0.878
Tl3 0.222 0.778 0.250
Tl4 0.778 0.222 0.750
Tl5 0.886 0.114 0.122
Tl6 0.886 0.114 0.378
In1 0.070 0.930 0.250
In2 0.930 0.070 0.750
Hg1 0.288 0.712 0.066
Hg2 0.288 0.712 0.434
Hg3 0.353 0.647 0.614
Hg4 0.353 0.647 0.886
Hg5 0.454 0.546 0.539
Hg6 0.454 0.546 0.961
Hg7 0.475 0.525 0.250
Hg8 0.525 0.475 0.750
Hg9 0.546 0.454 0.039
Hg10 0.546 0.454 0.461
Hg11 0.647 0.353 0.114
Hg12 0.647 0.353 0.386
Hg13 0.712 0.288 0.566
Hg14 0.712 0.288 0.934

Properties
Space-group type ... Cmcm (63)

Stability order, top to bottom: two, one